# Ca3Re2

A relaxed Ca3Re2 crystal (PBE-GGA, the Alexandria database).

a = 4.7102 Å, b = 4.7102 Å, c = 8.1404 Å
α = 90.00°, β = 90.00°, γ = 120.00°
Last column: nearest neighbours and their distance in Å.
Atoms (fractional coordinates):
Ca  0.0000  0.0000  0.0000  6 Re 2.73
Ca  0.3333  0.6667  0.3160  1 Re 2.83
Ca  0.6667  0.3333  0.6840  1 Re 2.83
Re  0.3333  0.6667  0.9680  4 Ca 2.73-2.83, 3 Re 2.77
Re  0.6667  0.3333  0.0320  4 Ca 2.73-2.83, 3 Re 2.77

Calculated values
* crystal system: trigonal
* E_form: 785.0 meV per atom
* space group: No. 164